# BeAl2Zn

A relaxed BeAl2Zn crystal (GGA-PBE, the Alexandria database).

a = 3.831 Å, b = 3.831 Å, c = 7.805 Å
α = 90.00°, β = 90.00°, γ = 90.00°
Space group I-4m2 (No. 119)
Unique sites:
Be: 0.000 0.000 0.000 [2 per cell]
Al: 0.000 0.000 0.500 [2 per cell]
Al: 0.000 0.500 0.250 [2 per cell]
Zn: 0.000 0.500 0.750 [2 per cell]

Final energy (eV/cell): -23.64
Crystal system: tetragonal
Density of states at the Fermi level (states/eV/atom): 0.235
Spin magnetization (μB/atom): 0.00

# Be2AlZn

A relaxed Be2AlZn crystal (GGA-PBE, the Alexandria database).

a = 2.954 Å, b = 3.725 Å, c = 4.653 Å
α = 90.00°, β = 108.21°, γ = 90.00°
Space group Pm (No. 6)
Unique sites:
Be: 0.000 0.000 0.000 [1 per cell]
Be: 0.131 0.500 0.261 [1 per cell]
Al: 0.409 0.500 0.811 [1 per cell]
Zn: 0.719 0.000 0.446 [1 per cell]

Final energy (eV/cell): -11.76
Crystal system: monoclinic
Density of states at the Fermi level (states/eV/atom): 0.242
Spin magnetization (μB/atom): 0.00

# BeAl2Zn2

A relaxed BeAl2Zn2 crystal (GGA-PBE, the Alexandria database).

a = 6.291 Å, b = 6.291 Å, c = 4.007 Å
α = 90.00°, β = 90.00°, γ = 90.00°
Space group P4/mbm (No. 127)
Unique sites:
Be: 0.000 0.000 0.000 [2 per cell]
Al: 0.153 0.347 0.000 [4 per cell]
Zn: 0.152 0.652 0.500 [4 per cell]

Final energy (eV/cell): -24.82
Crystal system: tetragonal
Density of states at the Fermi level (states/eV/atom): 0.213
Spin magnetization (μB/atom): 0.00

# Be2AlZn

A relaxed Be2AlZn crystal (GGA-PBE, the Alexandria database).

a = 2.494 Å, b = 3.242 Å, c = 6.093 Å
α = 90.00°, β = 90.00°, γ = 90.00°
Space group Pmm2 (No. 25)
Unique sites:
Be: 0.000 0.000 0.000 [1 per cell]
Be: 0.500 0.500 0.169 [1 per cell]
Al: 0.500 0.500 0.743 [1 per cell]
Zn: 0.000 0.000 0.416 [1 per cell]

Final energy (eV/cell): -11.56
Crystal system: orthorhombic
Density of states at the Fermi level (states/eV/atom): 0.266
Spin magnetization (μB/atom): 0.00

# BeAl2Zn

A relaxed BeAl2Zn crystal (GGA-PBE, the Alexandria database).

a = 3.9931 Å, b = 3.9931 Å, c = 13.6072 Å
α = 90.00°, β = 90.00°, γ = 120.00°
Space group R3m (No. 160, hexagonal axes)
Unique sites:
Be: 0.0000 0.0000 0.0000 [3 per cell]
Al: 0.0000 0.0000 0.3961 [3 per cell]
Al: 0.0000 0.0000 0.6087 [3 per cell]
Zn: 0.0000 0.0000 0.1742 [3 per cell]

Final energy (eV/cell): -35.39
Crystal system: trigonal
Density of states at the Fermi level (states/eV/atom): 0.348
Spin magnetization (μB/atom): 0.00

# BeAl2Zn

A relaxed BeAl2Zn crystal (GGA-PBE, the Alexandria database).

a = 6.169 Å, b = 6.169 Å, c = 6.169 Å
α = 90.00°, β = 90.00°, γ = 90.00°
Space group F-43m (No. 216)
Unique sites:
Be: 0.000 0.000 0.000 [4 per cell]
Al: 0.000 0.000 0.500 [4 per cell]
Al: 0.250 0.250 0.750 [4 per cell]
Zn: 0.250 0.250 0.250 [4 per cell]

Final energy (eV/cell): -44.63
Crystal system: cubic
Density of states at the Fermi level (states/eV/atom): 0.509
Spin magnetization (μB/atom): 0.00

# BeAl2Zn

A relaxed BeAl2Zn crystal (GGA-PBE, the Alexandria database).

a = 8.142 Å, b = 2.889 Å, c = 5.051 Å
α = 90.00°, β = 102.42°, γ = 90.00°
Space group C2/m (No. 12)
Unique sites:
Be: 0.000 0.000 0.000 [2 per cell]
Al: 0.244 0.500 0.234 [4 per cell]
Zn: 0.000 0.500 0.500 [2 per cell]

Final energy (eV/cell): -23.65
Crystal system: monoclinic
Density of states at the Fermi level (states/eV/atom): 0.168
Spin magnetization (μB/atom): 0.00

# BeAlZn2

A relaxed BeAlZn2 crystal (GGA-PBE, the Alexandria database).

a = 3.810 Å, b = 3.810 Å, c = 7.634 Å
α = 90.00°, β = 90.00°, γ = 90.00°
Space group I4/mmm (No. 139)
Unique sites:
Be: 0.000 0.000 0.000 [2 per cell]
Al: 0.000 0.000 0.500 [2 per cell]
Zn: 0.000 0.500 0.250 [4 per cell]

Final energy (eV/cell): -18.61
Crystal system: tetragonal
Density of states at the Fermi level (states/eV/atom): 0.344
Spin magnetization (μB/atom): 0.00

Number 1: ΔH_f (0 K) 166 meV/atom. Number 2: ΔH_f (0 K) 176 meV/atom. Number 3: ΔH_f (0 K) 270 meV/atom. Number 4: ΔH_f (0 K) 226 meV/atom. Number 5: ΔH_f (0 K) 172 meV/atom. Number 6: ΔH_f (0 K) 332 meV/atom. Number 7: ΔH_f (0 K) 165 meV/atom. Number 8: ΔH_f (0 K) 177 meV/atom.